A relaxed structure of CaPr4Rh2, computed with PBE.

Results
final energy	-5.477	eV per atom
energy above the most stable polymorph in this dataset	0	meV per atom
crystal system	monoclinic
V	30.77	Å³/atom
energy of formation from the pure elements	-2.52	eV per formula unit

a b c (Å): 7.4544 6.8700 9.1929
angles (deg): 90.00 113.81 90.00
Closest atoms and distances in Å follow each position.
Sites, in units of the cell vectors:
Ca  0.0373  0.2500  0.2925  1 Rh 2.85
Ca  0.9627  0.7500  0.7075  1 Rh 2.85
Pr  0.2418  0.2500  0.7080  1 Rh 2.73
Pr  0.2837  0.5023  0.0659  4 Rh 2.87-3.01
Pr  0.2837  0.9977  0.0659  4 Rh 2.87-3.01
Pr  0.3323  0.7500  0.5039  2 Rh 2.96-3.01
Pr  0.6677  0.2500  0.4961  2 Rh 2.96-3.01
Pr  0.7163  0.0023  0.9341  4 Rh 2.87-3.01
Pr  0.7163  0.4977  0.9341  4 Rh 2.87-3.01
Pr  0.7582  0.7500  0.2920  1 Rh 2.73
Rh  0.0327  0.7500  0.1657  6 Pr 2.73-3.01
Rh  0.3811  0.7500  0.8397  1 Ca 2.85, 5 Pr 2.87-2.99
Rh  0.6189  0.2500  0.1603  1 Ca 2.85, 5 Pr 2.87-2.99
Rh  0.9673  0.2500  0.8343  6 Pr 2.73-3.01